A.
# CsAsF2, optimized geometry, DFT PBE-GGA
# Size of the total moment = 0.00 μB per formula unit
data_CsAsF2
_chemical_formula_sum 'Cs3 As3 F6'
_cell_length_a 4.1200
_cell_length_b 4.1200
_cell_length_c 16.5999
_cell_angle_alpha 90.00
_cell_angle_beta 90.00
_cell_angle_gamma 120.00
_symmetry_space_group_name_H-M 'R -3 m'
_symmetry_Int_Tables_number 166
_symmetry_space_group_name_Hall '-R 3 2"'
loop_
_atom_site_label
_atom_site_fract_x
_atom_site_fract_y
_atom_site_fract_z
Cs1 0.0000 0.0000 0.0000
As1 0.0000 0.0000 0.5000
F1 0.0000 0.0000 0.1901


B.
# CsAsF2, optimized geometry, DFT PBE-GGA
# Size of the total moment = 0.27 μB per formula unit
data_CsAsF2
_chemical_formula_sum 'Cs3 As3 F6'
_cell_length_a 3.8434
_cell_length_b 3.8434
_cell_length_c 23.3779
_cell_angle_alpha 90.00
_cell_angle_beta 90.00
_cell_angle_gamma 120.00
_symmetry_space_group_name_H-M 'R -3 m'
_symmetry_Int_Tables_number 166
_symmetry_space_group_name_Hall '-R 3 2"'
loop_
_atom_site_label
_atom_site_fract_x
_atom_site_fract_y
_atom_site_fract_z
Cs1 0.0000 0.0000 0.0000
As1 0.0000 0.0000 0.5000
F1 0.0000 0.0000 0.4127


C.
# CsAsF2, optimized geometry, DFT PBE-GGA
# Size of the total moment = 0.00 μB per formula unit
data_CsAsF2
_chemical_formula_sum 'Cs4 As4 F8'
_cell_length_a 5.331
_cell_length_b 5.331
_cell_length_c 14.233
_cell_angle_alpha 90.00
_cell_angle_beta 90.00
_cell_angle_gamma 90.00
_symmetry_space_group_name_H-M 'I -4 2 d'
_symmetry_Int_Tables_number 122
_symmetry_space_group_name_Hall 'I -4 2bw'
loop_
_atom_site_label
_atom_site_fract_x
_atom_site_fract_y
_atom_site_fract_z
Cs1 0.000 0.000 0.000
As1 0.000 0.000 0.500
F1 0.091 0.250 0.625


Sorted by energy, starting with the most stable: B, A, C.